[1]
# Ca3Al5S12

Ca3Al5S12 after structural relaxation (PBE, Alexandria).

Properties
- ΔE_f (raw) (eV per atom) = -1.1484

Cell lengths 15.047, 15.047, 15.047 Å; angles 90.00, 90.00, 90.00 degrees
Space group Ia-3d (No. 230)
Unique sites:
Ca  0.000  0.250  0.125 x24
Al  0.000  0.000  0.000 x16
Al  0.000  0.250  0.375 x24
S  0.032  0.058  0.647 x96

---

[2]
# CaAlS3

CaAlS3 after structural relaxation (PBE, Alexandria).

Properties
- ΔE_f (raw) (eV per atom) = 0.1708
- ΔE to the lowest computed polymorph (meV/atom) = 1151

Cell lengths 5.303, 5.303, 5.303 Å; angles 90.00, 90.00, 90.00 degrees
Space group Pm-3m (No. 221)
Unique sites:
Ca  0.000  0.000  0.000 x1
Al  0.500  0.500  0.500 x1
S  0.000  0.000  0.500 x3

---

[3]
# CaAl2S

CaAl2S after structural relaxation (PBE, Alexandria).

Properties
- ΔE_f (raw) (eV per atom) = -0.3341

Cell lengths 8.006, 8.006, 5.546 Å; angles 90.00, 90.00, 90.00 degrees
Space group I-42d (No. 122)
Unique sites:
Ca  0.000  0.000  0.000 x4
Al  0.198  0.250  0.625 x8
S  0.000  0.000  0.500 x4

---

[4]
# Ca3AlS4

Ca3AlS4 after structural relaxation (PBE, Alexandria).

Properties
- ΔE_f (raw) (eV per atom) = -1.5995

Cell lengths 9.090, 8.006, 5.743 Å; angles 90.00, 90.00, 90.00 degrees
Space group Pmn2_1 (No. 31)
Unique sites:
Ca  0.000  0.171  0.000 x2
Ca  0.248  0.339  0.500 x4
Al  0.000  0.836  0.429 x2
S  0.000  0.127  0.504 x2
S  0.000  0.837  0.029 x2
S  0.218  0.688  0.505 x4

---

[5]
# CaAl2S4

CaAl2S4 after structural relaxation (PBE, Alexandria).

Properties
- ΔE_f (raw) (eV per atom) = -1.4046

Cell lengths 5.965, 10.226, 10.240 Å; angles 90.00, 90.00, 90.00 degrees
Space group Cccm (No. 66)
Unique sites:
Ca  0.000  0.000  0.250 x4
Al  0.001  0.263  0.000 x8
S  0.229  0.083  0.500 x8
S  0.250  0.250  0.168 x8

---

[6]
# CaAl6S8

CaAl6S8 after structural relaxation (PBE, Alexandria).

Properties
- ΔE_f (raw) (eV per atom) = -0.8487

Cell lengths 9.7375, 9.7375, 10.7304 Å; angles 90.00, 90.00, 120.00 degrees
Space group R-3 (No. 148, hexagonal axes)
Unique sites:
Ca  0.0000  0.0000  0.0000 x3
Al  0.0526  0.2117  0.6027 x18
S  0.0000  0.0000  0.2640 x6
S  0.0102  0.3095  0.0922 x18

---

[7]
# CaAlS

CaAlS after structural relaxation (PBE, Alexandria).

Properties
- ΔE_f (raw) (eV per atom) = -1.0385

Cell lengths 3.966, 3.966, 8.539 Å; angles 90.00, 90.00, 90.00 degrees
Space group P4/nmm (No. 129, origin choice 2)
Unique sites:
Ca  0.250  0.250  0.166 x2
Al  0.250  0.750  0.500 x2
S  0.250  0.250  0.828 x2

---

[8]
# CaAl2S4

CaAl2S4 after structural relaxation (PBE, Alexandria).

Properties
- ΔE_f (raw) (eV per atom) = -1.4151

Cell lengths 12.138, 20.158, 20.340 Å; angles 90.00, 90.00, 90.00 degrees
Space group Fddd (No. 70, origin choice 2)
Unique sites:
Ca  0.125  0.125  0.125 x8
Ca  0.125  0.125  0.373 x16
Ca  0.125  0.125  0.625 x8
Al  0.084  0.304  0.250 x32
Al  0.123  0.262  0.751 x32
S  0.001  0.000  0.584 x32
S  0.001  0.000  0.915 x32
S  0.003  0.345  0.499 x32
S  0.015  0.079  0.751 x32

---

[9]
# Ca3AlS

Ca3AlS after structural relaxation (PBE, Alexandria).

Properties
- ΔE_f (raw) (eV per atom) = -0.7601
- ΔE to the lowest computed polymorph (meV/atom) = 0

Cell lengths 5.342, 5.342, 5.342 Å; angles 90.00, 90.00, 90.00 degrees
Space group Pm-3m (No. 221)
Unique sites:
Ca  0.000  0.000  0.500 x3
Al  0.500  0.500  0.500 x1
S  0.000  0.000  0.000 x1

---

[10]
# CaAlS3

CaAlS3 after structural relaxation (PBE, Alexandria).

Properties
- ΔE_f (raw) (eV per atom) = -0.9801
- ΔE to the lowest computed polymorph (meV/atom) = 0

Cell lengths 4.674, 4.674, 4.674 Å; angles 90.00, 90.00, 90.00 degrees
Space group Pm-3m (No. 221)
Unique sites:
Ca  0.000  0.000  0.000 x1
Al  0.500  0.500  0.500 x1
S  0.000  0.500  0.500 x3

---

[11]
# Ca2ScAlS5

Ca2ScAlS5 after structural relaxation (PBE, Alexandria).

Properties
- ΔE_f (raw) (eV per atom) = -1.7729

Cell lengths 3.779, 16.771, 12.092 Å; angles 90.00, 90.00, 90.00 degrees
Space group Cmc2_1 (No. 36)
Unique sites:
Ca  0.000  0.111  0.000 x4
Ca  0.000  0.130  0.648 x4
Sc  0.000  0.212  0.357 x4
Al  0.000  0.441  0.760 x4
S  0.000  0.048  0.367 x4
S  0.000  0.288  0.001 x4
S  0.000  0.310  0.707 x4
S  0.000  0.359  0.330 x4
S  0.000  0.498  0.099 x4

---

[12]
# CaAl2SiS6

CaAl2SiS6 after structural relaxation (PBE, Alexandria).

Properties
- ΔE_f (raw) (eV per atom) = -1.0461

Cell lengths 12.840, 11.381, 7.139 Å; angles 90.00, 114.90, 90.00 degrees
Space group C2/c (No. 15)
Unique sites:
Ca  0.000  0.158  0.250 x4
Al  0.190  0.436  0.165 x8
Si  0.000  0.181  0.750 x4
S  0.109  0.070  0.662 x8
S  0.118  0.253  0.036 x8
S  0.146  0.418  0.439 x8

---

[13]
# CaAlSi2S6

CaAlSi2S6 after structural relaxation (PBE, Alexandria).

Properties
- ΔE_f (raw) (eV per atom) = -0.8190

Cell lengths 12.937, 10.911, 7.555 Å; angles 90.00, 117.65, 90.00 degrees
Space group C2/c (No. 15)
Unique sites:
Ca  0.000  0.157  0.250 x4
Al  0.000  0.196  0.750 x4
Si  0.198  0.438  0.166 x8
S  0.111  0.069  0.662 x8
S  0.128  0.255  0.063 x8
S  0.148  0.436  0.428 x8

---

[14]
# CaSmAlS4

CaSmAlS4 after structural relaxation (PBE, Alexandria).

Properties
- ΔE_f (raw) (eV per atom) = -1.6418

Cell lengths 7.717, 7.919, 11.058 Å; angles 90.00, 90.00, 90.00 degrees
Space group Imma (No. 74)
Unique sites:
Ca  0.250  0.250  0.250 x4
Sm  0.000  0.000  0.000 x4
Al  0.000  0.250  0.632 x4
S  0.000  0.009  0.748 x8
S  0.242  0.250  0.505 x8

---

[15]
# Sr3Ca3AlS8

Sr3Ca3AlS8 after structural relaxation (PBE, Alexandria).

Properties
- ΔE_f (raw) (eV per atom) = -1.7728

Cell lengths 8.1462, 8.1462, 20.3524 Å; angles 90.00, 90.00, 120.00 degrees
Space group R-3m (No. 166, hexagonal axes)
Unique sites:
Sr  0.0000  0.5000  0.0000 x9
Ca  0.0000  0.5000  0.5000 x9
Al  0.0000  0.0000  0.5000 x3
S  0.0000  0.0000  0.2453 x6
S  0.0383  0.5192  0.2358 x18